Density functional theory data (PBE-GGA) for a relaxed structure of Ba2LiNpO5.

The structure in extended XYZ format:
```
18
Lattice="3.577 0.000 0.000 -1.789 7.528 0.000 0.000 0.000 11.312" Properties=species:S:1:pos:R:3 pbc="T T T"
O 1.789 2.437 5.730
O 0.000 5.091 0.074
O 1.789 6.439 5.932
O 1.789 3.209 1.609
O 0.000 4.607 4.464
O 0.000 1.089 0.275
O 1.789 2.921 10.120
O 1.789 0.011 8.920
O 0.000 4.320 7.265
O 0.000 7.517 3.264
Np 0.000 3.078 0.201
Np 1.789 4.450 5.857
Li 1.789 0.840 10.636
Li 0.000 6.688 4.979
Ba 0.000 1.848 3.559
Ba 0.000 1.578 7.864
Ba 1.789 5.951 2.208
Ba 1.789 5.680 9.215
```

Properties
uncorrected energy	-7.51	eV/atom
spin magnetization	4.0	μB per cell
formation energy without anion corrections	-2.68	eV per atom
ρ	6.525	g/cm3